# 1
Here is a geometry-optimized TaFe2Tc structure from Alexandria. Energies are from PBE-GGA.

Total DFT energy (no corrections), eV/atom: -9.72
Relative energy among the computed polymorphs, meV/atom: 145
Spin magnetization, μB/f.u.: 1.9

Cell: 5.388 7.261 2.759 Å, 90.00 90.00 90.00°
Space group Cmmm (No. 65)
One atom of each set of equivalent atoms:
Ta: 0.000 0.000 0.000
Fe: 0.250 0.250 0.500
Tc: 0.000 0.500 0.000

***

# 2
Here is a geometry-optimized Tl2SbPb12 structure from Alexandria. Energies are from PBE-GGA.

Total DFT energy (no corrections), eV/atom: -3.47
Formation energy without anion corrections, eV per atom: 0.092
Spin magnetization, μB/f.u.: 0.0

Cell: 6.759 6.759 22.760 Å, 90.00 90.00 90.00°
Space group P4/nbm (No. 125, origin choice 2)
One atom of each set of equivalent atoms:
Tl: 0.250 0.750 0.238
Sb: 0.250 0.750 0.500
Pb: 0.001 0.501 0.401
Pb: 0.067 0.567 0.067
Pb: 0.250 0.250 0.162
Pb: 0.250 0.250 0.301

***

# 3
Here is a geometry-optimized Pr3Nd5Y4 structure from Alexandria. Energies are from PBE-GGA.

Total DFT energy (no corrections), eV/atom: -5.33
Relative energy among the computed polymorphs, meV/atom: 0
Spin magnetization, μB/f.u.: 0.0

Cell: 6.372 7.377 9.802 Å, 67.91 77.32 89.86°
Space group P-1 (No. 2)
One atom of each set of equivalent atoms:
Pr: 0.000 0.000 0.000
Pr: 0.224 0.333 0.334
Nd: 0.000 0.500 0.000
Nd: 0.277 0.416 0.666
Nd: 0.499 0.247 0.001
Y: 0.223 0.836 0.334
Y: 0.278 0.917 0.666

***

# 4
Here is a geometry-optimized Ca2LaVSb structure from Alexandria. Energies are from PBE-GGA.

Total DFT energy (no corrections), eV/atom: -3.01
Formation energy without anion corrections, eV per atom: 1.421
Spin magnetization, μB/f.u.: 0.1

Cell: 6.042 6.042 5.902 Å, 90.00 90.00 90.00°
Space group P4/mmm (No. 123)
One atom of each set of equivalent atoms:
Ca: 0.000 0.500 0.000
La: 0.000 0.000 0.000
V: 0.500 0.500 0.500
Sb: 0.000 0.000 0.500

***

# 5
Here is a geometry-optimized BiTe2As structure from Alexandria. Energies are from PBE-GGA.

Total DFT energy (no corrections), eV/atom: -3.63
Formation energy without anion corrections, eV per atom: 0.076
Relative energy among the computed polymorphs, meV/atom: 0
Spin magnetization, μB/f.u.: 0.0

Cell: 6.200 5.346 16.404 Å, 90.00 90.00 90.00°
Space group Pnma (No. 62)
One atom of each set of equivalent atoms:
Bi: 0.176 0.250 0.032
Te: 0.122 0.750 0.163
Te: 0.167 0.250 0.415
As: 0.200 0.750 0.344

***

# 6
Here is a geometry-optimized BePbAu2 structure from Alexandria. Energies are from PBE-GGA.

Total DFT energy (no corrections), eV/atom: -3.30
Relative energy among the computed polymorphs, meV/atom: 222
Spin magnetization, μB/f.u.: 0.0

Cell: 3.307 5.095 9.171 Å, 90.00 90.00 90.00°
Space group Imm2 (No. 44)
One atom of each set of equivalent atoms:
Be: 0.000 0.000 0.000
Pb: 0.000 0.500 0.246
Au: 0.000 0.000 0.452
Au: 0.000 0.500 0.672

***

- Which value of total DFT energy (no corrections) does entry 4 give?
  -3.01 eV/atom